(1)
Here is a relaxed structure of Li3ScTi from Alexandria. Energies are from GGA-PBEsol.

Summary:
Symmetry: Pm-3m, No. 221
Total magnetic moment, μB per cell: 2.02
Volume, A^3/atom: 20.5
Energy of formation from the pure elements, meV per atom: 1237

Structure (POSCAR):
```
Li3ScTi
1.0
4.6797 0.0000 0.0000
0.0000 4.6797 0.0000
0.0000 0.0000 4.6797
Li Ti Sc
3 1 1
Direct
0.5000 0.0000 0.0000
0.0000 0.5000 0.0000
0.0000 0.0000 0.5000
0.5000 0.5000 0.5000
0.0000 0.0000 0.0000
```

(2)
Here is a relaxed structure of ZrAgO2 from Alexandria. Energies are from GGA-PBEsol.

Summary:
Symmetry: Fm-3m, No. 225
Formation energy from raw total energies, eV per atom: -1.28
Total magnetic moment, μB per cell: 0.98
Volume, A^3/atom: 11.4

Structure (POSCAR):
```
ZrAgO2
1.0
4.0119 0.0000 0.0000
2.0060 3.4744 0.0000
2.0060 1.1581 3.2757
Zr O Ag
1 2 1
Direct
0.0000 0.0000 0.0000
0.2500 0.2500 0.2500
0.7500 0.7500 0.7500
0.5000 0.5000 0.5000
```

(3)
Here is a relaxed structure of ScFePt from Alexandria. Energies are from GGA-PBEsol.

Summary:
Symmetry: F-43m, No. 216
Total magnetic moment, μB per cell: 2.33
Volume, A^3/atom: 17.9
Energy of formation from the pure elements, meV per atom: 233

Structure (POSCAR):
```
ScFePt
1.0
-2.6736 -2.7026 1.8571
-1.5150 -3.3026 -2.1677
1.2759 -3.9201 0.9517
Sc Pt Fe
1 1 1
Direct
0.7500 0.7500 0.7500
0.5000 0.5000 0.5000
0.0000 0.0000 0.0000
```

(4)
Here is a relaxed structure of Sb2PbAu from Alexandria. Energies are from GGA-PBEsol.

Summary:
Symmetry: P4mm, No. 99
Formation energy from raw total energies, eV per atom: 0.11
Total magnetic moment, μB per cell: 0.00
Volume, A^3/atom: 24.7

Structure (POSCAR):
```
Sb2PbAu
1.0
-0.5969 -1.1606 -3.0876
-2.3489 -2.0534 1.2259
-6.0681 6.2412 -1.1728
Pb Sb Au
1 2 1
Direct
0.5000 0.5000 0.7181
0.5000 0.5000 0.2861
0.0000 0.0000 0.0101
0.0000 0.0000 0.4856
```